Model one:
First-principles (GGA-PBE) data for FeMo2Os after structural relaxation, as listed in the Alexandria database.

DOS(E_F)   3.676 states/eV/f.u.

```
4
Lattice="-1.932 1.932 3.845 1.932 -1.932 3.845 1.932 1.932 -3.845" Properties=species:S:1:pos:R:3 pbc="T T T"
Fe 0.000 0.000 0.000
Mo 1.932 0.000 1.922
Mo 0.000 1.932 1.922
Os 0.000 0.000 3.845
```

---

Model two:
First-principles (GGA-PBE) data for FeMo2Os after structural relaxation, as listed in the Alexandria database.

DOS(E_F)   4.158 states/eV/f.u.

```
4
Lattice="4.505 -1.380 0.000 4.505 1.380 0.000 -0.839 0.000 4.642" Properties=species:S:1:pos:R:3 pbc="T T T"
Fe 0.000 0.000 0.000
Mo 1.634 0.000 3.636
Mo 3.993 0.000 2.275
Os 6.410 0.000 1.206
```

---

Model three:
First-principles (GGA-PBE) data for FeMo2Os after structural relaxation, as listed in the Alexandria database.

DOS(E_F)   4.056 states/eV/f.u.

```
4
Lattice="3.186 0.000 0.000 0.000 4.248 0.000 0.000 0.000 4.299" Properties=species:S:1:pos:R:3 pbc="T T T"
Fe 0.000 0.000 0.000
Mo 0.000 2.124 2.150
Mo 1.593 0.000 2.150
Os 1.593 2.124 0.000
```

---

Model four:
First-principles (GGA-PBE) data for FeMo2Os after structural relaxation, as listed in the Alexandria database.

DOS(E_F)   4.579 states/eV/f.u.

```
4
Lattice="2.753 0.000 0.000 0.000 2.753 0.000 0.000 0.000 7.501" Properties=species:S:1:pos:R:3 pbc="T T T"
Fe 0.000 0.000 0.000
Mo 1.377 1.377 1.781
Mo 1.377 1.377 5.720
Os 0.000 0.000 3.751
```

---

Least stable of them? model two.

---

Model one:
First-principles (GGA-PBE) data for Fe3MoP after structural relaxation, as listed in the Alexandria database.

DOS(E_F)   7.528 states/eV/f.u.

```
5
Lattice="4.052 0.000 0.000 0.000 4.052 0.000 0.000 0.000 4.052" Properties=species:S:1:pos:R:3 pbc="T T T"
Fe 0.000 0.000 2.026
Fe 0.000 2.026 0.000
Fe 2.026 0.000 0.000
Mo 2.026 2.026 2.026
P 0.000 0.000 0.000
```

---

Model two:
First-principles (GGA-PBE) data for Fe3MoP after structural relaxation, as listed in the Alexandria database.

DOS(E_F)   6.427 states/eV/f.u.

```
5
Lattice="4.466 0.000 0.000 0.000 4.466 0.000 0.000 0.000 4.466" Properties=species:S:1:pos:R:3 pbc="T T T"
Fe 0.000 0.000 2.233
Fe 0.000 2.233 0.000
Fe 2.233 0.000 0.000
Mo 0.000 0.000 0.000
P 2.233 2.233 2.233
```

---

Least stable of them? model two.

---

Model one:
First-principles (GGA-PBE) data for FeMoPb2 after structural relaxation, as listed in the Alexandria database.

DOS(E_F)   3.906 states/eV/f.u.

```
4
Lattice="1.625 0.938 8.884 -1.625 0.938 8.884 0.000 -1.876 8.884" Properties=species:S:1:pos:R:3 pbc="T T T"
Fe 0.000 0.000 0.000
Mo 0.000 0.000 13.326
Pb 0.000 0.000 6.702
Pb 0.000 0.000 19.951
```

---

Model two:
First-principles (GGA-PBE) data for FeMoPb2 after structural relaxation, as listed in the Alexandria database.

DOS(E_F)   4.311 states/eV/f.u.

```
4
Lattice="3.558 0.000 0.000 0.000 4.405 0.000 0.000 0.000 5.247" Properties=species:S:1:pos:R:3 pbc="T T T"
Fe 0.000 0.000 0.000
Mo 1.779 0.000 2.623
Pb 0.000 2.202 2.623
Pb 1.779 2.202 0.000
```

---

Model three:
First-principles (GGA-PBE) data for FeMoPb2 after structural relaxation, as listed in the Alexandria database.

DOS(E_F)   3.691 states/eV/f.u.

```
4
Lattice="0.000 3.484 3.484 3.484 0.000 3.484 3.484 3.484 0.000" Properties=species:S:1:pos:R:3 pbc="T T T"
Fe 0.000 0.000 0.000
Mo 1.742 1.742 1.742
Pb 3.484 3.484 3.484
Pb 5.226 5.226 5.226
```

---

Model four:
First-principles (GGA-PBE) data for FeMoPb2 after structural relaxation, as listed in the Alexandria database.

DOS(E_F)   3.894 states/eV/f.u.

```
4
Lattice="4.575 -1.583 0.000 4.575 1.583 0.000 -1.251 0.000 5.550" Properties=species:S:1:pos:R:3 pbc="T T T"
Fe 0.000 0.000 0.000
Mo 3.949 0.000 2.775
Pb 1.388 0.000 4.182
Pb 6.511 0.000 1.368
```

---

Least stable of them? model three.

---

Model one:
First-principles (GGA-PBE) data for FeMoPb2 after structural relaxation, as listed in the Alexandria database.

DOS(E_F)   9.656 states/eV/f.u.

```
4
Lattice="0.000 3.352 3.352 3.352 0.000 3.352 3.352 3.352 0.000" Properties=species:S:1:pos:R:3 pbc="T T T"
Fe 0.000 0.000 0.000
Mo 3.352 3.352 3.352
Pb 1.676 1.676 1.676
Pb 5.028 5.028 5.028
```

---

Model two:
First-principles (GGA-PBE) data for FeMoPb2 after structural relaxation, as listed in the Alexandria database.

DOS(E_F)   6.227 states/eV/f.u.

```
8
Lattice="-3.759 3.759 2.964 3.759 -3.759 2.964 3.759 3.759 -2.964" Properties=species:S:1:pos:R:3 pbc="T T T"
Fe 0.000 0.000 0.000
Fe 0.000 3.759 1.482
Mo 3.759 0.000 1.482
Mo 0.000 0.000 2.964
Pb 5.638 1.644 -0.741
Pb 1.644 1.879 0.741
Pb -1.879 2.115 2.223
Pb 2.115 1.879 3.705
```

---

Least stable of them? model two.

---

Model one:
First-principles (GGA-PBE) data for FeMoPd after structural relaxation, as listed in the Alexandria database.

DOS(E_F)   2.266 states/eV/f.u.

```
3
Lattice="4.351 0.000 0.000 -2.176 3.768 0.000 0.000 0.000 2.625" Properties=species:S:1:pos:R:3 pbc="T T T"
Fe 0.000 0.000 0.000
Mo 0.000 2.512 1.312
Pd 2.176 1.256 0.000
```

---

Model two:
First-principles (GGA-PBE) data for FeMoPd after structural relaxation, as listed in the Alexandria database.

DOS(E_F)   2.545 states/eV/f.u.

```
3
Lattice="-1.345 1.345 5.951 1.345 -1.345 5.951 1.345 1.345 -5.951" Properties=species:S:1:pos:R:3 pbc="T T T"
Fe 0.000 0.000 0.000
Mo 0.000 0.000 7.921
Pd 0.000 0.000 4.056
```

---

Least stable of them? model one.

---

Model one:
First-principles (GGA-PBE) data for Fe3MoPt after structural relaxation, as listed in the Alexandria database.

DOS(E_F)   10.654 states/eV/f.u.

```
5
Lattice="4.578 0.000 0.000 0.000 4.578 0.000 0.000 0.000 4.578" Properties=species:S:1:pos:R:3 pbc="T T T"
Fe 0.000 0.000 2.289
Fe 0.000 2.289 0.000
Fe 2.289 0.000 0.000
Mo 2.289 2.289 2.289
Pt 0.000 0.000 0.000
```

---

Model two:
First-principles (GGA-PBE) data for Fe3MoPt after structural relaxation, as listed in the Alexandria database.

DOS(E_F)   5.503 states/eV/f.u.

```
5
Lattice="4.371 0.000 0.000 0.000 4.371 0.000 0.000 0.000 4.371" Properties=species:S:1:pos:R:3 pbc="T T T"
Fe 0.000 0.000 2.185
Fe 0.000 2.185 0.000
Fe 2.185 0.000 0.000
Mo 0.000 0.000 0.000
Pt 2.185 2.185 2.185
```

---

Least stable of them? model one.

---

Model one:
First-principles (GGA-PBE) data for Fe2MoPt2 after structural relaxation, as listed in the Alexandria database.

DOS(E_F)   8.458 states/eV/f.u.

```
10
Lattice="6.292 0.000 0.000 0.000 6.292 0.000 0.000 0.000 3.516" Properties=species:S:1:pos:R:3 pbc="T T T"
Fe 0.804 2.342 0.000
Fe 2.342 5.488 0.000
Fe 3.950 0.804 0.000
Fe 5.488 3.950 0.000
Mo 0.000 0.000 0.000
Mo 3.146 3.146 0.000
Pt 1.055 4.200 1.758
Pt 2.091 1.055 1.758
Pt 4.200 5.237 1.758
Pt 5.237 2.091 1.758
```

---

Model two:
First-principles (GGA-PBE) data for Fe2MoPt2 after structural relaxation, as listed in the Alexandria database.

DOS(E_F)   3.398 states/eV/f.u.

```
10
Lattice="4.688 -2.190 0.000 4.688 2.190 0.000 -2.341 0.000 6.896" Properties=species:S:1:pos:R:3 pbc="T T T"
Fe -0.459 0.000 2.436
Fe 1.087 0.000 0.555
Fe 5.947 0.000 6.341
Fe 7.494 0.000 4.460
Mo 0.426 0.000 5.398
Mo 6.608 0.000 1.497
Pt 2.054 0.000 3.198
Pt 3.763 0.000 1.016
Pt 3.271 0.000 5.879
Pt 4.980 0.000 3.698
```

---

Least stable of them? model one.

---

Model one:
First-principles (GGA-PBE) data for FeMoPt after structural relaxation, as listed in the Alexandria database.

DOS(E_F)   3.087 states/eV/f.u.

```
6
Lattice="2.791 0.000 0.000 0.000 2.791 0.000 0.000 0.000 10.940" Properties=species:S:1:pos:R:3 pbc="T T T"
Fe 0.698 0.698 0.680
Fe 2.094 2.094 10.260
Mo 0.698 0.698 8.500
Mo 2.094 2.094 2.440
Pt 0.698 0.698 4.396
Pt 2.094 2.094 6.544
```

---

Model two:
First-principles (GGA-PBE) data for FeMoPt after structural relaxation, as listed in the Alexandria database.

DOS(E_F)   4.168 states/eV/f.u.

```
3
Lattice="0.000 2.895 2.895 2.895 0.000 2.895 2.895 2.895 0.000" Properties=species:S:1:pos:R:3 pbc="T T T"
Fe 0.000 0.000 0.000
Mo 1.447 1.447 1.447
Pt 4.342 4.342 4.342
```

---

Model three:
First-principles (GGA-PBE) data for FeMoPt after structural relaxation, as listed in the Alexandria database.

DOS(E_F)   2.343 states/eV/f.u.

```
3
Lattice="-1.360 1.360 5.853 1.360 -1.360 5.853 1.360 1.360 -5.853" Properties=species:S:1:pos:R:3 pbc="T T T"
Fe 0.000 0.000 0.000
Mo 0.000 0.000 7.776
Pt 0.000 0.000 3.964
```

---

Least stable of them? model two.